Record 1
A plane-wave DFT calculation with meta-GGA SCAN was carried out for a PBEsol-optimized structure of Ni7Pt5.

Summary:
Density of states at the Fermi level: 6.2 states/eV/f.u.
Total moment: 7.57 μB per cell
Polymorph energy (0 for the lowest one): 0.000 eV/atom
Formation energy: -155 meV/atom

Lattice parameters (Å, degrees): 4.499 7.812 4.556 90.00 110.41 90.00
Space group P2 (No. 3)
Unique sites:
Ni  0.000  0.000  0.000 [1 per cell]
Ni  0.000  0.162  0.500 [1 per cell]
Ni  0.000  0.331  0.000 [1 per cell]
Ni  0.000  0.659  0.000 [1 per cell]
Ni  0.000  0.830  0.500 [1 per cell]
Ni  0.500  0.330  0.500 [1 per cell]
Ni  0.500  0.496  0.000 [1 per cell]
Pt  0.000  0.485  0.500 [1 per cell]
Pt  0.500  0.003  0.500 [1 per cell]
Pt  0.500  0.177  0.000 [1 per cell]
Pt  0.500  0.657  0.500 [1 per cell]
Pt  0.500  0.828  0.000 [1 per cell]

Record 2
A plane-wave DFT calculation with meta-GGA SCAN was carried out for a PBEsol-optimized structure of NiPt3.

Summary:
Density of states at the Fermi level: 4.2 states/eV/f.u.
Total moment: 2.12 μB per cell
Formation energy: -56 meV/atom

Lattice parameters (Å, degrees): 2.722 3.779 5.442 90.00 90.00 90.00
Space group Pmmm (No. 47)
Unique sites:
Ni  0.000  0.000  0.000 [1 per cell]
Pt  0.000  0.000  0.500 [1 per cell]
Pt  0.500  0.500  0.240 [2 per cell]

Record 3
A plane-wave DFT calculation with meta-GGA SCAN was carried out for a PBEsol-optimized structure of Ni5Pt7.

Summary:
Density of states at the Fermi level: 9.6 states/eV/f.u.
Total moment: 14.13 μB per cell
Polymorph energy (0 for the lowest one): 0.034 eV/atom
Formation energy: -114 meV/atom

Lattice parameters (Å, degrees): 13.037 5.293 4.616 90.00 90.48 90.00
Space group C2 (No. 5)
Unique sites:
Ni  0.000  0.000  0.000 [2 per cell]
Ni  0.166  0.003  0.331 [4 per cell]
Ni  0.167  0.250  0.835 [4 per cell]
Pt  0.000  0.239  0.500 [2 per cell]
Pt  0.000  0.490  0.000 [2 per cell]
Pt  0.000  0.754  0.500 [2 per cell]
Pt  0.168  0.760  0.845 [4 per cell]
Pt  0.172  0.499  0.343 [4 per cell]

Record 4
A plane-wave DFT calculation with meta-GGA SCAN was carried out for a PBEsol-optimized structure of NiPt2.

Summary:
Density of states at the Fermi level: 2.3 states/eV/f.u.
Total moment: 6.32 μB per cell
Formation energy: -120 meV/atom

Lattice parameters (Å, degrees): 5.3838 5.3838 6.5521 90.00 90.00 120.00
Space group P3m1 (No. 156)
Unique sites:
Ni  0.0000  0.0000  0.0000 [1 per cell]
Ni  0.3249  0.1624  0.6802 [3 per cell]
Pt  0.1644  0.3288  0.3478 [3 per cell]
Pt  0.3333  0.6667  0.6758 [1 per cell]
Pt  0.5018  0.0035  0.9987 [3 per cell]
Pt  0.6667  0.3333  0.3586 [1 per cell]

Record 5
A plane-wave DFT calculation with meta-GGA SCAN was carried out for a PBEsol-optimized structure of NiPt.

Summary:
Density of states at the Fermi level: 1.2 states/eV/f.u.
Total moment: 7.62 μB per cell
Formation energy: -139 meV/atom

Lattice parameters (Å, degrees): 8.716 2.677 7.273 90.00 114.36 90.00
Space group Cm (No. 8)
Unique sites:
Ni  0.000  0.000  0.000 [2 per cell]
Ni  0.006  0.000  0.493 [2 per cell]
Ni  0.159  0.500  0.321 [2 per cell]
Pt  0.164  0.500  0.830 [2 per cell]
Pt  0.331  0.000  0.644 [2 per cell]
Pt  0.338  0.000  0.177 [2 per cell]

Record 6
A plane-wave DFT calculation with meta-GGA SCAN was carried out for a PBEsol-optimized structure of NiPt2.

Summary:
Density of states at the Fermi level: 2.7 states/eV/f.u.
Total moment: 12.40 μB per cell
Formation energy: -91 meV/atom

Lattice parameters (Å, degrees): 8.894 8.063 4.637 90.00 99.66 90.00
Space group C2/m (No. 12)
Unique sites:
Ni  0.000  0.161  0.000 [4 per cell]
Ni  0.245  0.000  0.249 [4 per cell]
Pt  0.000  0.000  0.500 [2 per cell]
Pt  0.000  0.332  0.500 [4 per cell]
Pt  0.000  0.500  0.000 [2 per cell]
Pt  0.250  0.168  0.756 [8 per cell]

Record 7
A plane-wave DFT calculation with meta-GGA SCAN was carried out for a PBEsol-optimized structure of NiPt.

Summary:
Density of states at the Fermi level: 1.3 states/eV/f.u.
Total moment: 14.06 μB per cell
Formation energy: -122 meV/atom

Lattice parameters (Å, degrees): 5.293 7.400 7.918 90.00 90.00 90.00
Space group Cmm2 (No. 35)
Unique sites:
Ni  0.000  0.000  0.000 [2 per cell]
Ni  0.000  0.000  0.308 [2 per cell]
Ni  0.000  0.000  0.649 [2 per cell]
Ni  0.000  0.500  0.317 [2 per cell]
Ni  0.250  0.250  0.156 [4 per cell]
Pt  0.000  0.500  0.008 [2 per cell]
Pt  0.000  0.500  0.650 [2 per cell]
Pt  0.250  0.250  0.471 [4 per cell]
Pt  0.250  0.250  0.829 [4 per cell]

Record 8
A plane-wave DFT calculation with meta-GGA SCAN was carried out for a PBEsol-optimized structure of NiPt2.

Summary:
Density of states at the Fermi level: 2.4 states/eV/f.u.
Total moment: 7.08 μB per cell
Formation energy: -71 meV/atom

Lattice parameters (Å, degrees): 2.697 13.695 4.471 90.00 90.00 90.00
Space group Cmcm (No. 63)
Unique sites:
Ni  0.000  0.221  0.250 [4 per cell]
Pt  0.000  0.122  0.750 [4 per cell]
Pt  0.000  0.441  0.750 [4 per cell]

Record 9
A plane-wave DFT calculation with meta-GGA SCAN was carried out for a PBEsol-optimized structure of NiPt3.

Summary:
Density of states at the Fermi level: 3.3 states/eV/f.u.
Total moment: 3.57 μB per cell
Formation energy: -106 meV/atom

Lattice parameters (Å, degrees): 8.972 2.721 4.678 90.00 100.74 90.00
Space group C2/m (No. 12)
Unique sites:
Ni  0.000  0.000  0.000 [2 per cell]
Pt  0.000  0.500  0.500 [2 per cell]
Pt  0.244  0.500  0.244 [4 per cell]

Record 10
A plane-wave DFT calculation with meta-GGA SCAN was carried out for a PBEsol-optimized structure of Ni3Pt.

Summary:
Density of states at the Fermi level: 4.5 states/eV/f.u.
Total moment: 11.35 μB per cell
Formation energy: -100 meV/atom

Lattice parameters (Å, degrees): 5.087 10.212 3.588 90.00 90.00 90.00
Space group Cmmm (No. 65)
Unique sites:
Ni  0.000  0.122  0.000 [4 per cell]
Ni  0.238  0.000  0.500 [4 per cell]
Ni  0.250  0.250  0.500 [4 per cell]
Pt  0.000  0.371  0.000 [4 per cell]

Record 11
A plane-wave DFT calculation with meta-GGA SCAN was carried out for a PBEsol-optimized structure of Ni7Pt5.

Summary:
Density of states at the Fermi level: 7.9 states/eV/f.u.
Total moment: 7.87 μB per cell
Polymorph energy (0 for the lowest one): 0.032 eV/atom
Formation energy: -123 meV/atom

Lattice parameters (Å, degrees): 5.225 5.815 5.815 72.31 63.73 76.96
Space group P1 (No. 1)
Unique sites:
Ni  0.000  0.000  0.000 [1 per cell]
Ni  0.080  0.318  0.180 [1 per cell]
Ni  0.241  0.999  0.515 [1 per cell]
Ni  0.325  0.322  0.677 [1 per cell]
Ni  0.415  0.657  0.842 [1 per cell]
Ni  0.752  0.997  0.508 [1 per cell]
Ni  0.836  0.320  0.673 [1 per cell]
Pt  0.159  0.659  0.338 [1 per cell]
Pt  0.492  0.003  0.992 [1 per cell]
Pt  0.584  0.314  0.181 [1 per cell]
Pt  0.654  0.661  0.360 [1 per cell]
Pt  0.927  0.659  0.840 [1 per cell]

Record 12
A plane-wave DFT calculation with meta-GGA SCAN was carried out for a PBEsol-optimized structure of NiPt2.

Summary:
Density of states at the Fermi level: 2.4 states/eV/f.u.
Total moment: 6.18 μB per cell
Formation energy: -102 meV/atom

Lattice parameters (Å, degrees): 6.027 3.776 7.570 90.00 108.25 90.00
Space group Pm (No. 6)
Unique sites:
Ni  0.000  0.000  0.000 [1 per cell]
Ni  0.000  0.500  0.240 [1 per cell]
Ni  0.330  0.500  0.083 [1 per cell]
Ni  0.664  0.500  0.404 [1 per cell]
Pt  0.002  0.500  0.755 [1 per cell]
Pt  0.322  0.000  0.310 [1 per cell]
Pt  0.330  0.000  0.841 [1 per cell]
Pt  0.334  0.500  0.570 [1 per cell]
Pt  0.668  0.000  0.657 [1 per cell]
Pt  0.671  0.000  0.167 [1 per cell]
Pt  0.675  0.500  0.922 [1 per cell]
Pt  0.995  0.000  0.487 [1 per cell]

> The lowest density of states at the Fermi level belongs to which entry?

number 5

> The highest density of states at the Fermi level belongs to which entry?

Ni5Pt7

> What is the total moment in the third record?

14.13 μB per cell